[1]
VASP calculation (GGA-PBE) on crystalline PuTi3 at its relaxed geometry.

Unit cell a=4.1889 b=4.1889 c=4.1889 alpha=90.00 beta=90.00 gamma=90.00
With the nearest neighbours (Å) after each atom.
Fractional positions:
Ti  0.5000  0.5000  0.0000  4 Pu 2.96, 8 Ti 2.96
Ti  0.0000  0.5000  0.5000  4 Pu 2.96, 8 Ti 2.96
Ti  0.5000  0.0000  0.5000  4 Pu 2.96, 8 Ti 2.96
Pu  0.0000  0.0000  0.0000  12 Ti 2.96

Summary:
Its space group is Pm-3m, No. 221. The formation energy comes out at 0.076 eV per atom.

[2]
VASP calculation (GGA-PBE) on crystalline Pu3Ti at its relaxed geometry.

Unit cell a=4.5685 b=4.5685 c=5.0886 alpha=116.67 beta=116.67 gamma=90.00
With the nearest neighbours (Å) after each atom.
Fractional positions:
Pu  0.5000  0.5000  0.0000  8 Pu 3.01, 4 Ti 3.23
Ti  0.0000  0.0000  0.0000  12 Pu 3.01-3.23
Pu  0.7500  0.2500  0.5000  8 Pu 3.01-3.23, 4 Ti 3.01
Pu  0.2500  0.7500  0.5000  8 Pu 3.01-3.23, 4 Ti 3.01

Summary:
Its space group is I4/mmm, No. 139. The formation energy comes out at 0.145 eV per atom.

[3]
VASP calculation (GGA-PBE) on crystalline Pu4Ti at its relaxed geometry.

Unit cell a=5.2532 b=5.2532 c=5.2532 alpha=90.00 beta=90.00 gamma=90.00
With the nearest neighbours (Å) after each atom.
Fractional positions:
Pu  0.5000  0.5000  0.0000  2 Ti 2.63
Pu  0.0000  0.0000  0.0000  12 Pu 3.71
Pu  0.5000  0.0000  0.5000  2 Ti 2.63
Ti  0.5000  0.5000  0.5000  6 Pu 2.63
Pu  0.0000  0.5000  0.5000  2 Ti 2.63

Summary:
Its space group is Pm-3m, No. 221. The formation energy comes out at 0.765 eV per atom.

[4]
VASP calculation (GGA-PBE) on crystalline Pu2TiTl at its relaxed geometry.

Unit cell a=4.0074 b=4.0074 c=6.1164 alpha=90.00 beta=90.00 gamma=90.00
With the nearest neighbours (Å) after each atom.
Fractional positions:
Pu  0.0000  0.0000  0.7556  2 Pu 2.99-3.13, 4 Ti 3.20, 4 Tl 3.24
Pu  0.0000  0.0000  0.2444  2 Pu 2.99-3.13, 4 Ti 3.20, 4 Tl 3.24
Ti  0.5000  0.5000  0.0000  2 Tl 3.06, 8 Pu 3.20
Tl  0.5000  0.5000  0.5000  2 Ti 3.06, 8 Pu 3.24

Summary:
Its space group is P4/mmm, No. 123. The formation energy comes out at 0.214 eV per atom.

[5]
VASP calculation (GGA-PBE) on crystalline Pu2TiTl at its relaxed geometry.

Unit cell a=4.9268 b=4.3025 c=4.3025 alpha=90.00 beta=90.00 gamma=90.00
With the nearest neighbours (Å) after each atom.
Fractional positions:
Tl  0.5000  0.5000  0.5000  4 Ti 3.04, 8 Pu 3.27
Ti  0.5000  0.0000  0.0000  4 Tl 3.04, 8 Pu 3.27
Pu  0.0000  0.0000  0.5000  4 Pu 3.04, 4 Tl 3.27, 4 Ti 3.27
Pu  0.0000  0.5000  0.0000  4 Pu 3.04, 4 Tl 3.27, 4 Ti 3.27

Summary:
Its space group is P4/mmm, No. 123. The formation energy comes out at 0.108 eV per atom.

[6]
VASP calculation (GGA-PBE) on crystalline TmPuTi at its relaxed geometry.

Unit cell a=4.7537 b=8.2311 c=8.2311 alpha=85.22 beta=73.22 gamma=73.22
With the nearest neighbours (Å) after each atom.
Fractional positions:
Tm  0.8319  0.0000  0.3361  2 Pu 2.97, 4 Ti 3.14
Tm  0.1681  0.6639  0.0000  2 Pu 2.97, 4 Ti 3.14
Ti  0.5000  0.7577  0.2423  2 Pu 2.80
Ti  0.2577  0.2423  0.2423  2 Pu 2.80
Pu  0.3746  0.6254  0.6254  5 Pu 2.79-3.09, 2 Ti 2.80, 2 Tm 2.97
Ti  0.5000  0.2423  0.7577  2 Pu 2.80
Pu  0.0000  0.3746  0.6254  5 Pu 2.79-3.09, 2 Ti 2.80, 2 Tm 2.97
Tm  0.8319  0.3361  0.0000  2 Pu 2.97, 4 Ti 3.14
Pu  0.6254  0.3746  0.3746  5 Pu 2.79-3.09, 2 Ti 2.80, 2 Tm 2.97
Tm  0.1681  0.0000  0.6639  2 Pu 2.97, 4 Ti 3.14
Pu  0.0000  0.6254  0.3746  5 Pu 2.79-3.09, 2 Ti 2.80, 2 Tm 2.97
Ti  0.7423  0.7577  0.7577  2 Pu 2.80

Summary:
Its space group is I4/mmm, No. 139. The formation energy comes out at 0.452 eV per atom.

[7]
VASP calculation (GGA-PBE) on crystalline TmPuTi at its relaxed geometry.

Unit cell a=3.1419 b=5.0593 c=5.0593 alpha=120.00 beta=90.00 gamma=90.00
With the nearest neighbours (Å) after each atom.
Fractional positions:
Ti  0.1671  0.3333  0.6667  3 Pu 2.92, 2 Ti 3.14
Tm  0.6666  0.6667  0.3333  2 Tm 3.14, 6 Ti 3.32, 6 Pu 3.32
Pu  0.1663  0.0000  0.0000  3 Ti 2.92, 2 Pu 3.14

Summary:
Its space group is P-6m2, No. 187. The formation energy comes out at 0.207 eV per atom.

[8]
VASP calculation (GGA-PBE) on crystalline Pu2TiV at its relaxed geometry.

Unit cell a=3.4306 b=3.4306 c=6.7213 alpha=90.00 beta=90.00 gamma=90.00
With the nearest neighbours (Å) after each atom.
Fractional positions:
Pu  0.0000  0.0000  0.2633  4 V 2.90, 4 Ti 3.00, 1 Pu 3.18
V  0.5000  0.5000  0.5000  8 Pu 2.90
Pu  0.0000  0.0000  0.7367  4 V 2.90, 4 Ti 3.00, 1 Pu 3.18
Ti  0.5000  0.5000  0.0000  8 Pu 3.00, 2 V 3.36

Summary:
Its space group is P4/mmm, No. 123. The formation energy comes out at 0.341 eV per atom.

[9]
VASP calculation (GGA-PBE) on crystalline PuTi4V at its relaxed geometry.

Unit cell a=5.6236 b=8.9194 c=8.1954 alpha=90.00 beta=90.00 gamma=91.41
With the nearest neighbours (Å) after each atom.
Fractional positions:
Pu  0.6936  0.3620  0.4294  1 V 2.40
V  0.7307  0.6324  0.6035  1 Pu 2.40
Ti  0.4573  0.1004  0.2240  6 Ti 2.78-2.98, 1 Pu 2.85, 3 V 2.92-2.99
V  0.7693  0.8676  0.1035  1 Pu 2.40
Ti  0.8540  0.1231  0.6029  2 Pu 2.69-2.73, 7 Ti 2.74-2.98
V  0.2693  0.3676  0.3965  1 Pu 2.40
Ti  0.5427  0.8996  0.7760  6 Ti 2.78-2.98, 1 Pu 2.85, 3 V 2.92-2.99
Ti  0.1532  0.3865  0.0641  2 V 2.70-2.81, 7 Ti 2.74-2.89
Ti  0.3540  0.6231  0.8971  2 Pu 2.69-2.73, 7 Ti 2.74-2.98
Ti  0.1460  0.8769  0.3971  2 Pu 2.69-2.73, 7 Ti 2.74-2.98
Ti  0.6460  0.3769  0.1029  2 Pu 2.69-2.73, 7 Ti 2.74-2.98
Ti  0.6532  0.8865  0.4359  2 V 2.69-2.81, 7 Ti 2.74-2.89
Ti  0.0289  0.8589  0.7444  6 Ti 2.78-3.09, 2 Pu 2.83-2.92, 2 V 2.84-2.94
Ti  0.0427  0.3996  0.7240  6 Ti 2.78-2.98, 1 Pu 2.85, 3 V 2.92-2.99
V  0.2307  0.1324  0.8965  1 Pu 2.40
Ti  0.3468  0.1135  0.5641  2 V 2.69-2.81, 7 Ti 2.74-2.89
Ti  0.8468  0.6135  0.9359  2 V 2.70-2.81, 7 Ti 2.74-2.89
Ti  0.9711  0.1411  0.2556  6 Ti 2.78-3.09, 2 Pu 2.83-2.92, 2 V 2.84-2.94
Pu  0.1936  0.8620  0.0706  1 V 2.40
Ti  0.5289  0.3589  0.7556  6 Ti 2.78-3.09, 2 Pu 2.83-2.92, 2 V 2.84-2.94
Ti  0.9573  0.6004  0.2760  6 Ti 2.78-2.98, 1 Pu 2.85, 3 V 2.92-2.99
Pu  0.8064  0.1380  0.9294  1 V 2.40
Ti  0.4711  0.6411  0.2444  6 Ti 2.78-3.09, 2 Pu 2.83-2.92, 2 V 2.84-2.94
Pu  0.3064  0.6380  0.5706  1 V 2.40

Summary:
Its space group is P2_1/c, No. 14. The formation energy comes out at 0.114 eV per atom.

[10]
VASP calculation (GGA-PBE) on crystalline Pu2TiV at its relaxed geometry.

Unit cell a=2.3355 b=5.4070 c=5.4070 alpha=90.00 beta=90.00 gamma=90.00
With the nearest neighbours (Å) after each atom.
Fractional positions:
Ti  0.5000  0.0000  0.0000  2 Ti 2.34
Pu  0.0000  0.0000  0.5000  2 Pu 2.34
V  0.5000  0.5000  0.5000  2 V 2.34
Pu  0.0000  0.5000  0.0000  2 Pu 2.34

Summary:
Its space group is P4/mmm, No. 123. The formation energy comes out at 0.669 eV per atom.

[11]
VASP calculation (GGA-PBE) on crystalline PuTiV4 at its relaxed geometry.

Unit cell a=5.1118 b=5.1118 c=5.1118 alpha=60.00 beta=60.00 gamma=60.00
With the nearest neighbours (Å) after each atom.
Fractional positions:
V  0.6254  0.6254  0.1238  6 V 2.55-2.56
V  0.6254  0.6254  0.6254  6 V 2.55-2.56
V  0.1239  0.6254  0.6254  6 V 2.55-2.56
Ti  0.0000  0.0000  0.0000  12 V 3.00, 4 Pu 3.13
Pu  0.2500  0.2500  0.2500  12 V 3.00, 4 Ti 3.13
V  0.6254  0.1238  0.6254  6 V 2.55-2.56

Summary:
Its space group is F-43m, No. 216. The formation energy comes out at 0.215 eV per atom.

[12]
VASP calculation (GGA-PBE) on crystalline PuTiW at its relaxed geometry.

Unit cell a=3.0249 b=3.0249 c=11.8802 alpha=97.31 beta=97.31 gamma=90.00
With the nearest neighbours (Å) after each atom.
Fractional positions:
Pu  0.5486  0.5486  0.0972  1 Pu 2.27
Ti  0.1420  0.1420  0.2840  4 W 2.74, 4 Ti 3.02, 4 Pu 3.06
Pu  0.4514  0.4514  0.9028  1 Pu 2.27
W  0.2845  0.2845  0.5689  4 W 2.68, 4 Ti 2.74
W  0.7155  0.7155  0.4311  4 W 2.68, 4 Ti 2.74
Ti  0.8580  0.8580  0.7160  4 W 2.74, 4 Ti 3.02, 4 Pu 3.06

Summary:
Its space group is I4/mmm, No. 139. The formation energy comes out at 0.342 eV per atom.

[13]
VASP calculation (GGA-PBE) on crystalline PuTi2W at its relaxed geometry.

Unit cell a=3.1898 b=3.1898 c=7.3067 alpha=90.00 beta=90.00 gamma=90.00
With the nearest neighbours (Å) after each atom.
Fractional positions:
W  0.5000  0.5000  0.0000  8 Ti 2.71
Pu  0.5000  0.5000  0.5000  8 Ti 3.11, 4 Pu 3.19
Ti  0.0000  0.0000  0.2065  4 W 2.71, 1 Ti 3.02
Ti  0.0000  0.0000  0.7935  4 W 2.71, 1 Ti 3.02

Summary:
Its space group is P4/mmm, No. 123. The formation energy comes out at 0.116 eV per atom.

[14]
VASP calculation (GGA-PBE) on crystalline PuTi4W at its relaxed geometry.

Unit cell a=5.0493 b=6.3736 c=9.2851 alpha=119.20 beta=117.03 gamma=57.86
With the nearest neighbours (Å) after each atom.
Fractional positions:
Ti  0.7128  0.9664  0.4292  5 Ti 2.75-2.84, 2 W 2.87-2.88, 2 Pu 2.88
Ti  0.9669  0.7266  0.9286  5 Ti 2.73-2.92, 2 W 2.80-2.86, 2 Pu 2.90-2.94
Ti  0.2872  0.0336  0.5708  5 Ti 2.75-2.84, 2 W 2.87-2.88, 2 Pu 2.88
Ti  0.5383  0.7980  0.0714  5 Ti 2.73-2.92, 2 W 2.80-2.86, 2 Pu 2.90-2.94
Ti  0.7836  0.5372  0.5708  5 Ti 2.75-2.84, 2 W 2.87-2.88, 2 Pu 2.88
W  0.1248  0.8748  0.7497  8 Ti 2.80-2.88, 2 Pu 2.82
Pu  0.6256  0.3755  0.7511  2 W 2.82, 8 Ti 2.88-2.94
Ti  0.0331  0.2734  0.0714  5 Ti 2.73-2.92, 2 W 2.80-2.86, 2 Pu 2.90-2.94
W  0.8752  0.1252  0.2503  8 Ti 2.80-2.88, 2 Pu 2.82
Ti  0.2164  0.4628  0.4292  5 Ti 2.75-2.84, 2 W 2.87-2.88, 2 Pu 2.88
Ti  0.4617  0.2020  0.9286  5 Ti 2.73-2.92, 2 W 2.80-2.86, 2 Pu 2.90-2.94
Pu  0.3744  0.6245  0.2489  2 W 2.82, 8 Ti 2.88-2.94

Summary:
Its space group is C2/c, No. 15. The formation energy comes out at 0.205 eV per atom.

[15]
VASP calculation (GGA-PBE) on crystalline PuTi2Zn at its relaxed geometry.

Unit cell a=3.0893 b=4.7519 c=4.7519 alpha=90.00 beta=90.00 gamma=90.00
With the nearest neighbours (Å) after each atom.
Fractional positions:
Pu  0.5000  0.5000  0.5000  8 Ti 2.83, 2 Pu 3.09
Ti  0.0000  0.5000  0.0000  4 Pu 2.83, 4 Zn 2.83, 2 Ti 3.09
Zn  0.5000  0.0000  0.0000  8 Ti 2.83, 2 Zn 3.09
Ti  0.0000  0.0000  0.5000  4 Pu 2.83, 4 Zn 2.83, 2 Ti 3.09

Summary:
Its space group is P4/mmm, No. 123. The formation energy comes out at 0.007 eV per atom.

[16]
VASP calculation (GGA-PBE) on crystalline PuTi2Zn at its relaxed geometry.

Unit cell a=3.0770 b=3.0770 c=7.6086 alpha=90.00 beta=90.00 gamma=90.00
With the nearest neighbours (Å) after each atom.
Fractional positions:
Pu  0.5000  0.5000  0.5000  8 Ti 3.04, 4 Pu 3.08
Zn  0.5000  0.5000  0.0000  8 Ti 2.75, 4 Zn 3.08
Ti  0.0000  0.0000  0.2217  4 Zn 2.75, 4 Pu 3.04, 4 Ti 3.08
Ti  0.0000  0.0000  0.7783  4 Zn 2.75, 4 Pu 3.04, 4 Ti 3.08

Summary:
Its space group is P4/mmm, No. 123. The formation energy comes out at -0.009 eV per atom.

[17]
VASP calculation (GGA-PBE) on crystalline PuTiZn4 at its relaxed geometry.

Unit cell a=4.3073 b=6.7154 c=8.2175 alpha=65.88 beta=90.00 gamma=90.00
With the nearest neighbours (Å) after each atom.
Fractional positions:
Ti  0.7500  0.1365  0.2269  12 Zn 2.84-2.98
Ti  0.2500  0.8635  0.7731  12 Zn 2.84-2.98
Zn  0.7500  0.5695  0.9201  3 Zn 2.50-2.52
Zn  0.7500  0.1499  0.5852  4 Zn 2.50-2.58
Pu  0.2500  0.3895  0.7210  12 Zn 3.07-3.22, 2 Ti 3.38
Zn  0.2500  0.4305  0.0799  3 Zn 2.50-2.52
Zn  0.2500  0.8501  0.4148  4 Zn 2.50-2.58
Pu  0.7500  0.6105  0.2790  12 Zn 3.07-3.22, 2 Ti 3.38
Zn  0.2500  0.9895  0.0799  3 Zn 2.50-2.52
Zn  0.7500  0.0105  0.9201  3 Zn 2.50-2.52
Zn  0.7500  0.7649  0.5852  4 Zn 2.50-2.58
Zn  0.2500  0.2351  0.4148  4 Zn 2.50-2.58

Summary:
Its space group is Cmcm, No. 63. The formation energy comes out at -0.085 eV per atom.

[18]
VASP calculation (GGA-PBE) on crystalline PuTiZn4 at its relaxed geometry.

Unit cell a=4.3188 b=4.3188 c=6.7892 alpha=90.00 beta=90.00 gamma=120.00
With the nearest neighbours (Å) after each atom.
Fractional positions:
Zn  0.6667  0.3333  0.7978  4 Zn 2.49-2.75
Ti  0.0000  0.0000  0.0000  12 Zn 2.85
Pu  0.0000  0.0000  0.5000  12 Zn 3.21, 2 Ti 3.39
Zn  0.3333  0.6667  0.2022  4 Zn 2.49-2.75
Zn  0.6667  0.3333  0.2022  4 Zn 2.49-2.75
Zn  0.3333  0.6667  0.7978  4 Zn 2.49-2.75

Summary:
Its space group is P6/mmm, No. 191. The formation energy comes out at -0.096 eV per atom.

[19]
VASP calculation (GGA-PBE) on crystalline PuTiZn4 at its relaxed geometry.

Unit cell a=5.2711 b=5.2711 c=5.2711 alpha=60.00 beta=60.00 gamma=60.00
With the nearest neighbours (Å) after each atom.
Fractional positions:
Zn  0.6259  0.1222  0.6259  6 Zn 2.62-2.66
Zn  0.6259  0.6259  0.1222  6 Zn 2.62-2.66
Pu  0.2500  0.2500  0.2500  12 Zn 3.09, 4 Ti 3.23
Ti  0.0000  0.0000  0.0000  12 Zn 3.09, 4 Pu 3.23
Zn  0.1222  0.6259  0.6259  6 Zn 2.62-2.66
Zn  0.6259  0.6259  0.6259  6 Zn 2.62-2.66

Summary:
Its space group is F-43m, No. 216. The formation energy comes out at -0.103 eV per atom.

[20]
VASP calculation (GGA-PBE) on crystalline PuTi2Zn at its relaxed geometry.

Unit cell a=2.9948 b=2.9948 c=9.4812 alpha=80.91 beta=80.91 gamma=60.00
With the nearest neighbours (Å) after each atom.
Fractional positions:
Zn  0.6667  0.6667  0.9999  6 Ti 2.80-2.81, 6 Zn 2.99
Ti  0.0791  0.0791  0.7627  3 Zn 2.81, 3 Pu 2.99, 6 Ti 2.99
Ti  0.2545  0.2545  0.2364  3 Zn 2.80, 6 Ti 2.99, 3 Pu 3.01
Pu  0.4997  0.4997  0.5010  6 Ti 2.99-3.01, 6 Pu 2.99

Summary:
Its space group is R3m, No. 160. The formation energy comes out at 0.112 eV per atom.